(1)
This record from the Alexandria database describes a relaxed structure of Ba5Ag6. The functional is PBE-GGA.

abc: 4.896 34.281 4.676
angles: 90.00 90.00 90.00
Space group Cmmm (No. 65)
Asymmetric unit:
Ba1 0.000 0.000 0.000
Ba2 0.000 0.198 0.500
Ba3 0.000 0.386 0.000
Ag1 0.000 0.087 0.500
Ag2 0.000 0.276 0.000
Ag3 0.000 0.459 0.500

V (A^3/atom): 35.672
Energy (eV/cell): -59.3
DOS at the Fermi energy (states/eV per atom): 0.5475
Magnetic moment (μB per atom): 0.0000

***

(2)
This record from the Alexandria database describes a relaxed structure of Ba3Ag2. The functional is PBE-GGA.

abc: 11.440 13.788 11.734
angles: 90.00 90.00 90.00
Space group Fdd2 (No. 43)
Asymmetric unit:
Ba1 0.000 0.000 0.000
Ba2 0.058 0.158 0.572
Ag1 0.032 0.207 0.849

V (A^3/atom): 46.271
E above lowest polymorph (kcal/mol of atoms): 2.620
DOS at the Fermi energy (states/eV per atom): 0.9064
Magnetic moment (μB per atom): 0.0000